1.
# PrCu2Cl6

Crystalline PrCu2Cl6 at its relaxed geometry (PBE, the Alexandria database).

```
PrCu2Cl6
1.0
6.778 -5.173 0.000
6.778 5.173 0.000
-2.515 0.000 6.438
Pr Cu Cl
2 4 12
Cartesian
4.892 3.457 4.829
6.149 -3.457 1.610
2.211 0.608 5.021
3.468 -0.608 1.802
7.573 0.608 4.636
8.830 -0.608 1.417
0.016 0.525 4.153
1.273 -0.525 0.934
2.903 2.300 6.347
3.465 1.226 3.203
6.880 2.300 3.310
2.208 -1.226 6.422
8.833 1.226 0.016
4.161 -2.300 3.128
7.576 -1.226 3.235
8.138 -2.300 0.091
9.767 0.525 5.504
11.025 -0.525 2.285
```

Computed properties:
E ... -3.908 eV/atom
Space-group type ... C2/c (15)
Excess energy over the best structure of this formula in the dataset ... 0.0110 eV per atom
Theoretical density ... 3.54 g cm⁻³

2.
# Pr2CuCl

Crystalline Pr2CuCl at its relaxed geometry (PBE, the Alexandria database).

```
Pr2CuCl
1.0
2.103 1.214 6.867
-2.103 1.214 6.867
0.000 -2.428 6.867
Pr Cu Cl
2 1 1
Cartesian
0.000 0.000 5.087
0.000 0.000 15.513
0.000 0.000 10.300
0.000 0.000 0.000
```

Computed properties:
E ... -4.646 eV/atom
Space-group type ... R-3m (166)
Excess energy over the best structure of this formula in the dataset ... 0.0000 eV per atom
Theoretical density ... 6.01 g cm⁻³

3.
# PrCuCl6

Crystalline PrCuCl6 at its relaxed geometry (PBE, the Alexandria database).

```
PrCuCl6
1.0
5.385 0.000 0.000
0.057 6.889 0.000
1.863 2.388 6.560
Pr Cu Cl
1 1 6
Cartesian
0.000 0.000 0.000
2.721 3.444 0.000
0.792 6.441 2.537
3.014 4.745 5.406
4.080 7.700 5.492
3.226 1.576 1.068
4.292 4.532 1.153
6.514 2.836 4.022
```

Computed properties:
E ... -3.670 eV/atom
Space-group type ... P-1 (2)
Theoretical density ... 2.85 g cm⁻³

4.
# PrCuCl

Crystalline PrCuCl at its relaxed geometry (PBE, the Alexandria database).

```
PrCuCl
1.0
3.579 -2.092 0.000
3.579 2.092 0.000
-1.857 0.000 10.729
Pr Cu Cl
2 2 2
Cartesian
0.234 0.000 1.982
5.067 0.000 8.747
2.387 0.000 0.015
2.914 0.000 10.713
0.282 0.000 7.014
5.019 0.000 3.714
```

Computed properties:
E ... -4.675 eV/atom
Space-group type ... C2/m (12)
Theoretical density ... 4.96 g cm⁻³

5.
# RbPrCu2Cl6

Crystalline RbPrCu2Cl6 at its relaxed geometry (PBE, the Alexandria database).

```
RbPrCu2Cl6
1.0
4.965 -7.036 0.000
4.965 7.036 0.000
-2.595 0.000 8.448
Rb Pr Cu Cl
2 2 4 12
Cartesian
3.018 5.156 6.336
4.316 -5.156 2.112
4.316 0.742 2.112
3.018 -0.742 6.336
0.293 2.064 6.060
1.590 -2.064 1.836
5.744 2.064 6.612
7.042 -2.064 2.388
2.472 2.939 1.857
0.482 0.178 5.057
1.779 -0.178 0.833
2.194 1.572 7.856
3.843 1.572 4.816
6.160 2.939 2.367
1.174 -2.939 6.080
3.492 -1.572 3.632
5.140 -1.572 0.592
5.555 0.178 7.615
6.853 -0.178 3.391
4.862 -2.939 6.591
```

Computed properties:
E ... -3.962 eV/atom
Space-group type ... C2/c (15)
Theoretical density ... 3.19 g cm⁻³

6.
# Rb3PrCu2Cl9

Crystalline Rb3PrCu2Cl9 at its relaxed geometry (PBE, the Alexandria database).

```
Rb3PrCu2Cl9
1.0
7.285 0.000 0.000
-3.642 6.309 0.000
0.000 0.000 9.094
Rb Pr Cu Cl
3 1 2 9
Cartesian
0.000 0.000 0.000
0.000 4.206 6.324
3.642 2.103 2.770
0.000 0.000 4.547
0.000 4.206 1.239
3.642 2.103 7.855
-1.821 3.154 0.000
0.000 2.201 2.920
-1.736 5.208 2.920
1.906 1.101 6.174
3.642 0.000 0.000
1.821 3.154 0.000
1.736 5.208 2.920
5.378 1.101 6.174
3.642 4.108 6.174
```

Computed properties:
E ... -3.706 eV/atom
Space-group type ... P-3m1 (164)
Theoretical density ... 3.35 g cm⁻³

7.
# RbPrCu2Cl8

Crystalline RbPrCu2Cl8 at its relaxed geometry (PBE, the Alexandria database).

```
RbPrCu2Cl8
1.0
-3.306 3.306 7.441
3.306 -3.306 7.441
3.306 3.306 -7.441
Rb Pr Cu Cl
1 1 2 8
Cartesian
0.000 0.000 0.000
0.000 3.306 3.721
3.306 0.000 3.721
0.000 0.000 7.441
5.115 -1.054 2.840
2.252 -1.809 4.601
2.547 1.561 -1.273
1.497 1.054 2.840
1.744 -0.759 8.714
4.360 1.809 4.601
0.759 1.744 6.168
1.561 4.064 1.273
```

Computed properties:
E ... -3.657 eV/atom
Space-group type ... I-4 (82)
Theoretical density ... 3.25 g cm⁻³

8.
# Pr6CuS2Cl3

Crystalline Pr6CuS2Cl3 at its relaxed geometry (PBE, the Alexandria database).

```
Pr6CuS2Cl3
1.0
3.530 -6.132 0.000
3.530 6.132 0.000
-2.343 0.000 7.137
Pr Cu S Cl
6 1 2 3
Cartesian
-0.002 2.068 5.556
1.150 0.000 1.572
-0.002 -2.068 5.556
4.718 2.068 1.581
3.566 0.000 5.566
4.718 -2.068 1.581
3.530 0.000 0.000
3.530 4.084 0.000
3.530 -4.084 0.000
-1.171 0.000 3.569
2.358 2.001 3.569
2.358 -2.001 3.569
```

Computed properties:
E ... -5.302 eV/atom
Space-group type ... C2/m (12)
Theoretical density ... 5.80 g cm⁻³

no.,V (Å³/atom)
1,25.1
2,26.3
3,30.4
4,26.8
5,29.5
6,27.9
7,27.1
8,25.7